No. 1
# Cu2Ag3 (PBE, optimized geometry)
data_Cu2Ag3
_chemical_formula_sum 'Cu4 Ag6'
_symmetry_space_group_name_H-M 'P 1'
_symmetry_Int_Tables_number 1
_symmetry_space_group_name_Hall 'P 1'
_cell_length_a 3.9896
_cell_length_b 9.9679
_cell_length_c 9.9679
_cell_angle_alpha 23.12
_cell_angle_beta 90.00
_cell_angle_gamma 90.00
loop_
_atom_site_label
_atom_site_fract_x
_atom_site_fract_y
_atom_site_fract_z
_atom_site_occupancy
Ag1 0.0000 0.8074 0.8074 1
Cu1 0.0000 0.9896 0.9896 1
Cu2 0.5000 0.7015 0.7015 1
Ag2 0.5000 0.4920 0.4920 1
Cu3 0.5000 0.9034 0.9034 1
Cu4 0.0000 0.4033 0.4033 1
Ag3 0.5000 0.3074 0.3074 1
Ag4 0.5000 0.0968 0.0968 1
Ag5 0.0000 0.2020 0.2020 1
Ag6 0.0000 0.5968 0.5968 1
# ΔH_f (0 K): 0.084 eV per atom
# theoretical density: 9.62 g cm⁻³

***

No. 2
# CsPaGa (PBE, optimized geometry)
data_CsPaGa
_chemical_formula_sum 'Cs1 Pa1 Ga1'
_symmetry_space_group_name_H-M 'P 1'
_symmetry_Int_Tables_number 1
_symmetry_space_group_name_Hall 'P 1'
_cell_length_a 5.1581
_cell_length_b 5.1581
_cell_length_c 5.1581
_cell_angle_alpha 60.00
_cell_angle_beta 60.00
_cell_angle_gamma 60.00
loop_
_atom_site_label
_atom_site_fract_x
_atom_site_fract_y
_atom_site_fract_z
_atom_site_occupancy
Cs1 0.5000 0.5000 0.5000 1
Ga1 0.0000 0.0000 0.0000 1
Pa1 0.2500 0.2500 0.2500 1
# uncorrected energy: -3.25 eV/atom
# theoretical density: 7.42 g cm⁻³

***

No. 3
# PuAgOs (PBE, optimized geometry)
data_PuAgOs
_chemical_formula_sum 'Pu1 Ag1 Os1'
_symmetry_space_group_name_H-M 'P 1'
_symmetry_Int_Tables_number 1
_symmetry_space_group_name_Hall 'P 1'
_cell_length_a 4.5499
_cell_length_b 4.5499
_cell_length_c 4.5499
_cell_angle_alpha 60.00
_cell_angle_beta 60.00
_cell_angle_gamma 60.00
loop_
_atom_site_label
_atom_site_fract_x
_atom_site_fract_y
_atom_site_fract_z
_atom_site_occupancy
Ag1 0.2500 0.2500 0.2500 1
Pu1 0.7500 0.7500 0.7500 1
Os1 0.0000 0.0000 0.0000 1
# ΔH_f (0 K): 0.504 eV per atom
# theoretical density: 13.52 g cm⁻³

***

No. 4
# AlAu3 (PBE, optimized geometry)
data_AlAu3
_chemical_formula_sum 'Al1 Au3'
_symmetry_space_group_name_H-M 'P 1'
_symmetry_Int_Tables_number 1
_symmetry_space_group_name_Hall 'P 1'
_cell_length_a 5.1502
_cell_length_b 5.1502
_cell_length_c 5.1502
_cell_angle_alpha 134.39
_cell_angle_beta 134.39
_cell_angle_gamma 66.48
loop_
_atom_site_label
_atom_site_fract_x
_atom_site_fract_y
_atom_site_fract_z
_atom_site_occupancy
Au1 0.2500 0.7500 0.5000 1
Au2 0.5000 0.5000 0.0000 1
Al1 0.0000 0.0000 0.0000 1
Au3 0.7500 0.2500 0.5000 1
# uncorrected energy: -3.60 eV/atom
# theoretical density: 14.94 g cm⁻³

***

No. 5
# Er6TcBi2 (PBE, optimized geometry)
data_Er6TcBi2
_chemical_formula_sum 'Er6 Tc1 Bi2'
_symmetry_space_group_name_H-M 'P 1'
_symmetry_Int_Tables_number 1
_symmetry_space_group_name_Hall 'P 1'
_cell_length_a 4.2652
_cell_length_b 8.2230
_cell_length_c 8.2230
_cell_angle_alpha 120.01
_cell_angle_beta 90.00
_cell_angle_gamma 90.00
loop_
_atom_site_label
_atom_site_fract_x
_atom_site_fract_y
_atom_site_fract_z
_atom_site_occupancy
Er1 0.5000 0.6114 0.6114 1
Er2 0.5000 0.0000 0.3885 1
Er3 0.0000 0.0000 0.7675 1
Er4 0.5000 0.3885 0.0000 1
Tc1 0.5000 0.0000 0.0000 1
Er5 0.0000 0.2326 0.2326 1
Bi1 0.0000 0.3333 0.6667 1
Bi2 0.0000 0.6667 0.3333 1
Er6 0.0000 0.7675 0.0000 1
# uncorrected energy: -5.59 eV/atom
# theoretical density: 10.10 g cm⁻³

***

No. 6
# YAlCdCu (PBE, optimized geometry)
data_YAlCdCu
_chemical_formula_sum 'Y1 Al1 Cd1 Cu1'
_symmetry_space_group_name_H-M 'P 1'
_symmetry_Int_Tables_number 1
_symmetry_space_group_name_Hall 'P 1'
_cell_length_a 4.7765
_cell_length_b 4.7765
_cell_length_c 4.7765
_cell_angle_alpha 60.00
_cell_angle_beta 60.00
_cell_angle_gamma 60.00
loop_
_atom_site_label
_atom_site_fract_x
_atom_site_fract_y
_atom_site_fract_z
_atom_site_occupancy
Cd1 0.2500 0.2500 0.2500 1
Y1 0.5000 0.5000 0.5000 1
Cu1 0.7500 0.7500 0.7500 1
Al1 0.0000 0.0000 0.0000 1
# uncorrected energy: -3.94 eV/atom
# theoretical density: 6.29 g cm⁻³

***

No. 7
# AcPrZn (PBE, optimized geometry)
data_AcPrZn
_chemical_formula_sum 'Ac1 Pr1 Zn1'
_symmetry_space_group_name_H-M 'P 1'
_symmetry_Int_Tables_number 1
_symmetry_space_group_name_Hall 'P 1'
_cell_length_a 5.2837
_cell_length_b 5.2837
_cell_length_c 5.2837
_cell_angle_alpha 60.00
_cell_angle_beta 60.00
_cell_angle_gamma 60.00
loop_
_atom_site_label
_atom_site_fract_x
_atom_site_fract_y
_atom_site_fract_z
_atom_site_occupancy
Pr1 0.7500 0.7500 0.7500 1
Zn1 0.0000 0.0000 0.0000 1
Ac1 0.2500 0.2500 0.2500 1
# ΔH_f (0 K): 0.034 eV per atom
# theoretical density: 6.90 g cm⁻³

***

No. 8
# HgTeAsO (PBE, optimized geometry)
data_HgTeAsO
_chemical_formula_sum 'Hg2 Te2 As2 O2'
_symmetry_space_group_name_H-M 'P 1'
_symmetry_Int_Tables_number 1
_symmetry_space_group_name_Hall 'P 1'
_cell_length_a 4.0424
_cell_length_b 9.4353
_cell_length_c 5.8147
_cell_angle_alpha 90.00
_cell_angle_beta 90.00
_cell_angle_gamma 90.00
loop_
_atom_site_label
_atom_site_fract_x
_atom_site_fract_y
_atom_site_fract_z
_atom_site_occupancy
O1 0.5000 0.0345 0.1599 1
Te1 0.0000 0.6894 0.1771 1
O2 0.5000 0.9655 0.6599 1
Hg1 0.0000 0.3404 0.1680 1
As1 0.5000 0.1173 0.4860 1
Te2 0.0000 0.3106 0.6771 1
Hg2 0.0000 0.6596 0.6680 1
As2 0.5000 0.8827 0.9860 1
# uncorrected energy: -3.53 eV/atom
# theoretical density: 6.28 g cm⁻³